CoHg2Ir at its PBEsol-relaxed geometry, computed with meta-GGA SCAN.

Lattice parameters (Å, degrees): 6.371 6.371 6.371 90.00 90.00 90.00
Fractional coordinates of all 16 atoms:
Co  0.000  0.000  0.000
Co  0.000  0.500  0.500
Co  0.500  0.000  0.500
Co  0.500  0.500  0.000
Hg  0.000  0.000  0.500
Hg  0.000  0.500  0.000
Hg  0.250  0.250  0.250
Hg  0.250  0.750  0.750
Hg  0.500  0.000  0.000
Hg  0.500  0.500  0.500
Hg  0.750  0.250  0.750
Hg  0.750  0.750  0.250
Ir  0.250  0.250  0.750
Ir  0.250  0.750  0.250
Ir  0.750  0.250  0.250
Ir  0.750  0.750  0.750

Properties
Total magnetization in μB/f.u.: 2.18
Symmetry: F-43m
Energy of formation in eV per atom: 0.68


CoHg2Ir at its PBEsol-relaxed geometry, computed with meta-GGA SCAN.

Lattice parameters (Å, degrees): 2.863 2.863 7.975 90.00 90.00 90.00
Fractional coordinates of all 4 atoms:
Co  0.000  0.000  0.000
Hg  0.000  0.000  0.555
Hg  0.500  0.500  0.237
Ir  0.500  0.500  0.817

Properties
Total magnetization in μB/f.u.: 2.71
Symmetry: P4mm
Energy of formation in eV per atom: 0.36


Co2HgIr at its PBEsol-relaxed geometry, computed with meta-GGA SCAN.

Lattice parameters (Å, degrees): 2.794 4.402 8.879 90.00 90.00 90.00
Fractional coordinates of all 8 atoms:
Co  0.000  0.000  0.000
Co  0.000  0.500  0.287
Co  0.500  0.000  0.787
Co  0.500  0.500  0.500
Hg  0.000  0.500  0.764
Hg  0.500  0.000  0.264
Ir  0.000  0.000  0.545
Ir  0.500  0.500  0.045

Properties
Total magnetization in μB/f.u.: 4.58
Symmetry: Imm2
Energy of formation in eV per atom: 0.35


CoHg2Ir at its PBEsol-relaxed geometry, computed with meta-GGA SCAN.

Lattice parameters (Å, degrees): 8.984 2.939 4.983 90.00 101.73 90.00
Fractional coordinates of all 8 atoms:
Co  0.000  0.000  0.000
Co  0.500  0.500  0.000
Hg  0.246  0.500  0.243
Hg  0.254  0.000  0.757
Hg  0.746  0.000  0.243
Hg  0.754  0.500  0.757
Ir  0.000  0.500  0.500
Ir  0.500  0.000  0.500

Properties
Total magnetization in μB/f.u.: 1.92
Symmetry: C2/m
Energy of formation in eV per atom: 0.51


CoHg2IrPd at its PBEsol-relaxed geometry, computed with meta-GGA SCAN.

Lattice parameters (Å, degrees): 4.913 4.913 4.396 90.00 90.00 90.00
Fractional coordinates of all 5 atoms:
Co  0.000  0.000  0.000
Hg  0.000  0.500  0.500
Hg  0.500  0.000  0.500
Ir  0.500  0.500  0.000
Pd  0.000  0.000  0.500

Properties
Total magnetization in μB/f.u.: 1.48
Symmetry: P4/mmm
Energy of formation in eV per atom: 1.49


Tl2CoHgIr at its PBEsol-relaxed geometry, computed with meta-GGA SCAN.

Lattice parameters (Å, degrees): 5.137 5.137 5.172 90.00 90.00 90.00
Fractional coordinates of all 5 atoms:
Tl  0.000  0.500  0.000
Tl  0.500  0.000  0.000
Co  0.000  0.000  0.500
Hg  0.500  0.500  0.500
Ir  0.500  0.500  0.000

Properties
Total magnetization in μB/f.u.: 2.64
Symmetry: P4/mmm
Energy of formation in eV per atom: 0.83


KCoHg2 at its PBEsol-relaxed geometry, computed with meta-GGA SCAN.

Lattice parameters (Å, degrees): 4.984 4.984 7.079 90.00 90.00 90.00
Fractional coordinates of all 8 atoms:
K  0.000  0.000  0.000
K  0.500  0.500  0.500
Co  0.000  0.000  0.500
Co  0.500  0.500  0.000
Hg  0.000  0.500  0.250
Hg  0.000  0.500  0.750
Hg  0.500  0.000  0.250
Hg  0.500  0.000  0.750

Properties
Total magnetization in μB/f.u.: 1.77
Symmetry: I4/mmm
Energy of formation in eV per atom: 0.43


K3CoHg at its PBEsol-relaxed geometry, computed with meta-GGA SCAN.

Lattice parameters (Å, degrees): 6.322 6.322 6.322 90.00 90.00 90.00
Fractional coordinates of all 5 atoms:
K  0.000  0.000  0.500
K  0.000  0.500  0.000
K  0.500  0.000  0.000
Co  0.500  0.500  0.500
Hg  0.000  0.000  0.000

Properties
Total magnetization in μB/f.u.: 2.30
Symmetry: Pm-3m
Energy of formation in eV per atom: 0.55


KCoHg2 at its PBEsol-relaxed geometry, computed with meta-GGA SCAN.

Lattice parameters (Å, degrees): 4.350 4.350 9.245 90.00 90.00 90.00
Fractional coordinates of all 8 atoms:
K  0.000  0.000  0.000
K  0.500  0.500  0.500
Co  0.000  0.500  0.250
Co  0.500  0.000  0.750
Hg  0.000  0.000  0.500
Hg  0.000  0.500  0.750
Hg  0.500  0.000  0.250
Hg  0.500  0.500  0.000

Properties
Total magnetization in μB/f.u.: 1.99
Symmetry: I-4m2
Energy of formation in eV per atom: 0.39


KCoHg2 at its PBEsol-relaxed geometry, computed with meta-GGA SCAN.

Lattice parameters (Å, degrees): 3.296 3.296 7.946 90.00 90.00 90.00
Fractional coordinates of all 4 atoms:
K  0.000  0.000  0.000
Co  0.000  0.000  0.500
Hg  0.500  0.500  0.318
Hg  0.500  0.500  0.682

Properties
Total magnetization in μB/f.u.: 1.91
Symmetry: P4/mmm
Energy of formation in eV per atom: 0.23


LaCo3Hg at its PBEsol-relaxed geometry, computed with meta-GGA SCAN.

Lattice parameters (Å, degrees): 4.517 4.517 4.517 90.00 90.00 90.00
Fractional coordinates of all 5 atoms:
La  0.000  0.000  0.000
Co  0.000  0.000  0.500
Co  0.000  0.500  0.000
Co  0.500  0.000  0.000
Hg  0.500  0.500  0.500

Properties
Total magnetization in μB/f.u.: 3.20
Symmetry: Pm-3m
Energy of formation in eV per atom: 1.57


LaCoHg4 at its PBEsol-relaxed geometry, computed with meta-GGA SCAN.

Lattice parameters (Å, degrees): 5.731 5.731 5.731 60.00 60.00 60.00
Fractional coordinates of all 6 atoms:
La  0.000  0.000  0.000
Co  0.750  0.750  0.750
Hg  0.376  0.376  0.376
Hg  0.376  0.376  0.873
Hg  0.376  0.873  0.376
Hg  0.873  0.376  0.376

Properties
Total magnetization in μB/f.u.: 1.53
Symmetry: F-43m
Energy of formation in eV per atom: 0.03


LiCoHg2 at its PBEsol-relaxed geometry, computed with meta-GGA SCAN.

Lattice parameters (Å, degrees): 2.996 2.996 26.112 90.00 90.00 120.00
Fractional coordinates of all 12 atoms:
Li  0.000  0.000  0.000
Li  0.333  0.667  0.667
Li  0.667  0.333  0.333
Co  0.000  0.000  0.500
Co  0.333  0.667  0.167
Co  0.667  0.333  0.833
Hg  0.000  0.000  0.247
Hg  0.000  0.000  0.753
Hg  0.333  0.667  0.420
Hg  0.333  0.667  0.914
Hg  0.667  0.333  0.086
Hg  0.667  0.333  0.580

Properties
Total magnetization in μB/f.u.: 1.54
Symmetry: R-3m
Energy of formation in eV per atom: 0.11


Li2CoHg at its PBEsol-relaxed geometry, computed with meta-GGA SCAN.

Lattice parameters (Å, degrees): 3.751 3.751 7.936 90.00 90.00 90.00
Fractional coordinates of all 8 atoms:
Li  0.000  0.500  0.250
Li  0.000  0.500  0.750
Li  0.500  0.000  0.250
Li  0.500  0.000  0.750
Co  0.000  0.000  0.000
Co  0.500  0.500  0.500
Hg  0.000  0.000  0.500
Hg  0.500  0.500  0.000

Properties
Total magnetization in μB/f.u.: 1.73
Symmetry: I4/mmm
Energy of formation in eV per atom: -0.07


LiCoHg2 at its PBEsol-relaxed geometry, computed with meta-GGA SCAN.

Lattice parameters (Å, degrees): 3.117 3.117 6.472 90.00 90.00 90.00
Fractional coordinates of all 4 atoms:
Li  0.000  0.000  0.000
Co  0.000  0.000  0.500
Hg  0.500  0.500  0.256
Hg  0.500  0.500  0.744

Properties
Total magnetization in μB/f.u.: 1.68
Symmetry: P4/mmm
Energy of formation in eV per atom: 0.05


Li2CoHg at its PBEsol-relaxed geometry, computed with meta-GGA SCAN.

Lattice parameters (Å, degrees): 6.090 6.090 6.090 90.00 90.00 90.00
Fractional coordinates of all 16 atoms:
Li  0.000  0.000  0.000
Li  0.000  0.500  0.500
Li  0.250  0.250  0.250
Li  0.250  0.750  0.750
Li  0.500  0.000  0.500
Li  0.500  0.500  0.000
Li  0.750  0.250  0.750
Li  0.750  0.750  0.250
Co  0.000  0.000  0.500
Co  0.000  0.500  0.000
Co  0.500  0.000  0.000
Co  0.500  0.500  0.500
Hg  0.250  0.250  0.750
Hg  0.250  0.750  0.250
Hg  0.750  0.250  0.250
Hg  0.750  0.750  0.750

Properties
Total magnetization in μB/f.u.: 1.73
Symmetry: F-43m
Energy of formation in eV per atom: 0.04


LiCoHg at its PBEsol-relaxed geometry, computed with meta-GGA SCAN.

Lattice parameters (Å, degrees): 5.648 5.648 5.648 90.00 90.00 90.00
Fractional coordinates of all 12 atoms:
Li  0.000  0.000  0.000
Li  0.000  0.500  0.500
Li  0.500  0.000  0.500
Li  0.500  0.500  0.000
Co  0.250  0.250  0.750
Co  0.250  0.750  0.250
Co  0.750  0.250  0.250
Co  0.750  0.750  0.750
Hg  0.250  0.250  0.250
Hg  0.250  0.750  0.750
Hg  0.750  0.250  0.750
Hg  0.750  0.750  0.250

Properties
Total magnetization in μB/f.u.: 1.79
Symmetry: F-43m
Energy of formation in eV per atom: 0.40


Li2CoSnHg at its PBEsol-relaxed geometry, computed with meta-GGA SCAN.

Lattice parameters (Å, degrees): 4.995 4.995 5.306 90.00 90.00 90.00
Fractional coordinates of all 5 atoms:
Li  0.000  0.500  0.000
Li  0.500  0.000  0.000
Co  0.000  0.000  0.500
Sn  0.500  0.500  0.000
Hg  0.500  0.500  0.500

Properties
Total magnetization in μB/f.u.: 3.01
Symmetry: P4/mmm
Energy of formation in eV per atom: 0.77


MgCo2Hg at its PBEsol-relaxed geometry, computed with meta-GGA SCAN.

Lattice parameters (Å, degrees): 3.810 3.810 7.831 90.00 90.00 90.00
Fractional coordinates of all 8 atoms:
Mg  0.000  0.000  0.000
Mg  0.500  0.500  0.500
Co  0.000  0.500  0.250
Co  0.000  0.500  0.750
Co  0.500  0.000  0.250
Co  0.500  0.000  0.750
Hg  0.000  0.000  0.500
Hg  0.500  0.500  0.000

Properties
Total magnetization in μB/f.u.: 3.42
Symmetry: I4/mmm
Energy of formation in eV per atom: 0.24


MgCo2Hg at its PBEsol-relaxed geometry, computed with meta-GGA SCAN.

Lattice parameters (Å, degrees): 2.822 2.822 25.899 90.00 90.00 120.00
Fractional coordinates of all 12 atoms:
Mg  0.000  0.000  0.000
Mg  0.333  0.667  0.667
Mg  0.667  0.333  0.333
Co  0.000  0.000  0.252
Co  0.000  0.000  0.748
Co  0.333  0.667  0.415
Co  0.333  0.667  0.918
Co  0.667  0.333  0.082
Co  0.667  0.333  0.585
Hg  0.000  0.000  0.500
Hg  0.333  0.667  0.167
Hg  0.667  0.333  0.833

Properties
Total magnetization in μB/f.u.: 3.09
Symmetry: R-3m
Energy of formation in eV per atom: 0.38